Entry 1:
Compound: LaCe2Sn
Source: Alexandria via LeMat-Bulk
Functional: PBE-GGA
Structure: relaxed

Computed properties:
* energy above the lowest structure with this stoichiometry: 0.1065 eV per atom
* energy relative to the elements: -0.3134 eV per atom

POSCAR file:
```
LaCe2Sn
1.0
4.200 0.000 0.000
0.000 4.200 0.000
0.000 0.000 7.024
Sn La Ce
1 1 2
Direct
0.500 0.500 0.500
0.500 0.500 0.000
0.000 0.000 0.699
0.000 0.000 0.301
```



Entry 2:
Compound: LaCeSn
Source: Alexandria via LeMat-Bulk
Functional: PBE-GGA
Structure: relaxed

Computed properties:
* energy above the lowest structure with this stoichiometry: 0.0000 eV per atom
* energy relative to the elements: -0.5729 eV per atom

POSCAR file:
```
LaCeSn
1.0
-4.488 0.677 0.581
-0.684 -4.524 -0.007
1.135 -0.184 8.979
Sn La Ce
2 2 2
Direct
0.000 0.500 0.235
0.500 0.000 0.765
0.500 0.000 0.141
0.000 0.500 0.859
0.000 0.000 0.500
0.500 0.500 0.500
```



Entry 3:
Compound: La2CeSn2
Source: Alexandria via LeMat-Bulk
Functional: PBE-GGA
Structure: relaxed

Computed properties:
* energy relative to the elements: -0.5144 eV per atom

POSCAR file:
```
La2CeSn2
1.0
-3.654 2.508 4.717
-6.982 -4.691 -2.914
6.914 -3.602 2.831
La Sn Ce
4 4 2
Direct
0.857 0.717 0.713
0.143 0.283 0.287
0.357 0.996 0.713
0.643 0.004 0.287
0.885 0.113 0.769
0.385 0.656 0.769
0.115 0.887 0.231
0.615 0.344 0.231
0.750 0.500 0.000
0.250 0.500 0.000
```



Entry 4:
Compound: La3CeSn12
Source: Alexandria via LeMat-Bulk
Functional: PBE-GGA
Structure: relaxed

Computed properties:
* energy relative to the elements: -0.5692 eV per atom

POSCAR file:
```
La3CeSn12
1.0
4.791 0.000 0.000
0.000 4.791 0.000
0.000 0.000 19.122
La Sn Ce
3 12 1
Direct
0.000 0.000 0.246
0.000 0.000 0.754
0.000 0.000 0.500
0.000 0.500 0.373
0.500 0.500 0.000
0.500 0.000 0.373
0.500 0.000 0.627
0.500 0.500 0.248
0.500 0.500 0.500
0.000 0.500 0.879
0.500 0.000 0.121
0.500 0.000 0.879
0.500 0.500 0.752
0.000 0.500 0.121
0.000 0.500 0.627
0.000 0.000 0.000
```



Entry 5:
Compound: LaCeTlSn
Source: Alexandria via LeMat-Bulk
Functional: PBE-GGA
Structure: relaxed

Computed properties:
* energy above the lowest structure with this stoichiometry: 0.0325 eV per atom
* energy relative to the elements: -0.4615 eV per atom

POSCAR file:
```
LaCeTlSn
1.0
-1.143 2.175 -4.978
-5.249 1.166 -1.381
-1.655 5.283 -0.407
Sn La Ce Tl
1 1 1 1
Direct
0.250 0.250 0.250
0.500 0.500 0.500
0.000 0.000 0.000
0.750 0.750 0.750
```



Entry 6:
Compound: LaCeTlSn
Source: Alexandria via LeMat-Bulk
Functional: PBE-GGA
Structure: relaxed

Computed properties:
* energy above the lowest structure with this stoichiometry: 0.0000 eV per atom
* energy relative to the elements: -0.4940 eV per atom

POSCAR file:
```
LaCeTlSn
1.0
4.150 0.000 0.000
0.000 4.150 0.000
0.000 0.000 6.949
Ce Tl Sn La
1 1 1 1
Direct
0.500 0.500 0.121
0.000 0.000 0.865
0.000 0.000 0.347
0.500 0.500 0.594
```